Below is Ba3CaS after structural relaxation, with properties calculated at the PBEsol level.

Computed properties:
For the total magnetization, the calculation gives 0.002 μB per formula unit. The uncorrected formation energy comes out at 0.50 eV per atom. The density of states at the Fermi level comes out at 6.7 states/eV/f.u.

Structure (POSCAR):
```
Ba3CaS
1.0
6.151 0.000 0.000
0.000 6.151 0.000
0.000 0.000 6.151
Ba Ca S
3 1 1
direct
0.000 0.000 0.500
0.000 0.500 0.000
0.500 0.000 0.000
0.000 0.000 0.000
0.500 0.500 0.500
```